Version a
Here is crystalline CoAg2Br6 at its relaxed geometry from the Alexandria database. Energies are from PBE.

```
CoAg2Br6
1.0
6.7700 0.0000 0.0000
0.0000 6.4293 0.0000
-6.6707 0.0000 11.2695
Co Ag Br
2 4 12
Cartesian
0.0000 0.0000 0.0000
-3.3353 3.2147 5.6348
-3.3221 0.0599 9.2385
0.0132 3.1547 3.6038
0.0861 3.2746 7.6657
3.4214 6.3694 2.0310
-5.6351 1.4333 9.6022
-2.2998 1.7813 3.9674
-1.4200 4.6491 5.5715
-4.7553 4.9949 11.2062
1.0726 1.2993 1.7640
-2.2628 1.9153 7.3988
2.3621 4.5140 3.8707
-0.9732 5.1300 9.5055
4.8546 1.4344 0.0633
1.5193 1.7802 5.6981
2.3991 4.6480 7.3021
5.7345 4.9960 1.6673
```

Results
Calculated volume: 27.25 Å³ per atom

---

Version b
Here is crystalline CoAg2Br6 at its relaxed geometry from the Alexandria database. Energies are from PBE.

```
CoAg2Br6
1.0
7.7330 -6.2328 0.0000
7.7330 6.2328 0.0000
-3.3123 0.0000 6.8617
Co Ag Br
2 4 12
Cartesian
5.2487 3.6316 5.1463
6.9049 -3.6316 1.7154
2.5859 0.6138 3.7683
4.2420 -0.6138 0.3374
7.9116 0.6138 6.5243
9.5677 -0.6138 3.0934
4.5507 4.9853 3.4064
3.8158 1.5196 1.7110
9.2591 4.9853 0.0245
3.4980 2.2923 5.8398
6.9994 2.2923 4.4528
2.1596 -1.5196 5.1418
9.9939 1.5196 1.7199
5.1542 -2.2923 2.4089
8.6556 -2.2923 1.0219
2.8945 -4.9853 6.8372
8.3378 -1.5196 5.1507
7.6029 -4.9853 3.4553
```

Results
Calculated volume: 36.75 Å³ per atom

---

Which structure loses on stability? version b does.

---

Version a
Here is crystalline CoAgSe2Br at its relaxed geometry from the Alexandria database. Energies are from PBE.

```
CoAgSe2Br
1.0
4.5585 0.0000 0.0000
0.0000 4.5585 0.0000
0.0000 0.0000 5.7910
Co Ag Se Br
1 1 2 1
Cartesian
0.0000 0.0000 0.0000
2.2792 2.2792 2.8955
0.0000 2.2792 0.0000
2.2792 0.0000 0.0000
0.0000 0.0000 2.8955
```

Results
Calculated volume: 24.07 Å³ per atom

---

Version b
Here is crystalline CoAgSe2Br at its relaxed geometry from the Alexandria database. Energies are from PBE.

```
CoAgSe2Br
1.0
5.1124 0.0000 0.0000
0.0000 5.1124 0.0000
0.0000 0.0000 5.1400
Co Ag Se Br
1 1 2 1
Cartesian
0.0000 0.0000 0.0000
2.5562 2.5562 2.5700
0.0000 2.5562 2.5700
2.5562 0.0000 2.5700
2.5562 2.5562 0.0000
```

Results
Calculated volume: 26.87 Å³ per atom

---

Which structure loses on stability? version b does.

---

Version a
Here is crystalline CrAgBr at its relaxed geometry from the Alexandria database. Energies are from PBE.

```
CrAgBr
1.0
0.0000 2.6908 6.3491
1.9400 0.0000 6.3491
1.9400 2.6908 0.0000
Cr Ag Br
1 1 1
Cartesian
0.0000 0.0000 0.0000
1.9400 2.6908 8.2610
1.9400 2.6908 4.6505
```

Results
Calculated volume: 22.10 Å³ per atom

---

Version b
Here is crystalline CrAgBr at its relaxed geometry from the Alexandria database. Energies are from PBE.

```
CrAgBr
1.0
-1.6297 1.6297 6.1566
1.6297 -1.6297 6.1566
1.6297 1.6297 -6.1566
Cr Ag Br
1 1 1
Cartesian
0.0000 0.0000 0.0000
0.0000 0.0000 7.9305
0.0000 0.0000 4.5629
```

Results
Calculated volume: 21.80 Å³ per atom

---

Which structure loses on stability? version b does.

---

Version a
Here is crystalline CrAg2Br6 at its relaxed geometry from the Alexandria database. Energies are from PBE.

```
CrAg2Br6
1.0
6.4212 0.0000 0.0000
0.0000 6.4212 0.0000
0.0000 0.0000 12.0732
Cr Ag Br
2 4 12
Cartesian
0.0000 0.0000 0.0000
3.2106 3.2106 6.0366
0.0000 0.0000 4.0513
0.0000 0.0000 8.0220
3.2106 3.2106 1.9854
3.2106 3.2106 10.0879
1.2026 1.2026 1.8576
1.2026 1.2026 10.2156
1.3954 1.3954 6.0366
1.8152 4.6060 0.0000
2.0080 4.4132 4.1790
2.0080 4.4132 7.8942
4.4132 2.0080 4.1790
4.4132 2.0080 7.8942
4.6060 1.8152 0.0000
5.0257 5.0257 6.0366
5.2186 5.2186 1.8576
5.2186 5.2186 10.2156
```

Results
Calculated volume: 27.66 Å³ per atom

---

Version b
Here is crystalline CrAg2Br6 at its relaxed geometry from the Alexandria database. Energies are from PBE.

```
CrAg2Br6
1.0
6.7016 0.0000 0.0000
0.0000 7.0986 0.0000
-5.7291 0.0000 10.9403
Cr Ag Br
2 4 12
Cartesian
0.0000 0.0000 0.0000
-2.8646 3.5493 5.4702
-2.5092 0.9742 9.1662
0.3554 2.5750 3.6960
0.6170 4.5235 7.2443
3.4816 6.1243 1.7742
-1.8584 1.4203 4.6156
-4.7230 2.1290 10.0857
-0.8811 4.8520 4.6821
-3.7456 5.7959 10.1523
1.1485 0.3598 2.2830
-1.7161 3.1895 7.7532
2.6885 3.9090 3.1871
-0.1761 6.7388 8.6573
4.7181 1.3027 0.7880
1.8535 2.2466 6.2582
5.6954 4.9696 0.8546
2.8308 5.6783 6.3248
```

Results
Calculated volume: 28.91 Å³ per atom

---

Which structure loses on stability? version a does.

---

Version a
Here is crystalline Cr3AgBr at its relaxed geometry from the Alexandria database. Energies are from PBE.

```
Cr3AgBr
1.0
5.1283 0.0000 0.0000
0.0000 5.1283 0.0000
0.0000 0.0000 5.1283
Cr Ag Br
3 1 1
Cartesian
0.0000 0.0000 2.5641
0.0000 2.5641 0.0000
2.5641 0.0000 0.0000
0.0000 0.0000 0.0000
2.5641 2.5641 2.5641
```

Results
Calculated volume: 26.97 Å³ per atom

---

Version b
Here is crystalline Cr3AgBr at its relaxed geometry from the Alexandria database. Energies are from PBE.

```
Cr3AgBr
1.0
4.3664 0.0000 0.0000
0.0000 4.3664 0.0000
0.0000 0.0000 4.3664
Cr Ag Br
3 1 1
Cartesian
0.0000 0.0000 2.1832
0.0000 2.1832 0.0000
2.1832 0.0000 0.0000
2.1832 2.1832 2.1832
0.0000 0.0000 0.0000
```

Results
Calculated volume: 16.65 Å³ per atom

---

Which structure loses on stability? version b does.

---

Version a
Here is crystalline Cs2AgBr2 at its relaxed geometry from the Alexandria database. Energies are from PBE.

```
Cs2AgBr2
1.0
10.1994 0.0000 0.0000
0.0000 10.1994 0.0000
0.0000 0.0000 4.2316
Cs Ag Br
4 2 4
Cartesian
1.4924 3.6073 0.0000
3.6073 8.7070 0.0000
6.5921 1.4924 0.0000
8.7070 6.5921 0.0000
0.0000 0.0000 0.0000
5.0997 5.0997 0.0000
1.5427 6.6424 2.1158
3.5570 1.5427 2.1158
6.6424 8.6567 2.1158
8.6567 3.5570 2.1158
```

Results
Calculated volume: 44.02 Å³ per atom

---

Version b
Here is crystalline Cs2AgBr2 at its relaxed geometry from the Alexandria database. Energies are from PBE.

```
Cs2AgBr2
1.0
9.6424 0.0000 0.0000
0.0000 9.6424 0.0000
0.0000 0.0000 4.6110
Cs Ag Br
4 2 4
Cartesian
1.4441 3.3771 0.0000
3.3771 8.1983 0.0000
6.2653 1.4441 0.0000
8.1983 6.2653 0.0000
0.0000 0.0000 2.3055
4.8212 4.8212 2.3055
1.4928 6.3139 2.3055
3.3284 1.4928 2.3055
6.3139 8.1496 2.3055
8.1496 3.3284 2.3055
```

Results
Calculated volume: 42.87 Å³ per atom

---

Version c
Here is crystalline Cs2AgBr2 at its relaxed geometry from the Alexandria database. Energies are from PBE.

```
Cs2AgBr2
1.0
-3.5984 3.5984 5.3887
3.5984 -3.5984 5.3887
3.5984 3.5984 -5.3887
Cs Ag Br
2 1 2
Cartesian
3.5984 0.0000 2.6943
0.0000 3.5984 2.6943
0.0000 0.0000 0.0000
0.0000 0.0000 2.8154
0.0000 0.0000 7.9620
```

Results
Calculated volume: 55.82 Å³ per atom

---

Which structure loses on stability? version a does.

---

Version a
Here is crystalline CsAg3Br4 at its relaxed geometry from the Alexandria database. Energies are from PBE.

```
CsAg3Br4
1.0
8.0655 0.0000 0.0000
0.0000 8.0655 0.0000
0.0000 0.0000 8.0655
Cs Ag Br
2 6 8
Cartesian
0.0000 0.0000 0.0000
4.0328 4.0328 4.0328
0.0000 2.0164 4.0328
0.0000 6.0491 4.0328
2.0164 4.0328 0.0000
4.0328 0.0000 2.0164
4.0328 0.0000 6.0491
6.0491 4.0328 0.0000
2.0164 2.0164 2.0164
2.0164 2.0164 6.0491
2.0164 6.0491 2.0164
2.0164 6.0491 6.0491
6.0491 2.0164 2.0164
6.0491 2.0164 6.0491
6.0491 6.0491 2.0164
6.0491 6.0491 6.0491
```

Results
Calculated volume: 32.79 Å³ per atom

---

Version b
Here is crystalline CsAg3Br4 at its relaxed geometry from the Alexandria database. Energies are from PBE.

```
CsAg3Br4
1.0
3.9592 -7.8760 0.0000
3.9592 7.8760 0.0000
0.0000 0.0000 4.9755
Cs Ag Br
1 3 4
Cartesian
0.0000 0.0000 0.0000
3.9592 3.9735 2.4877
3.9592 0.0000 2.4877
3.9592 -3.9735 2.4877
2.0285 1.9977 2.4877
2.0285 -1.9977 2.4877
5.8899 1.9977 2.4877
5.8899 -1.9977 2.4877
```

Results
Calculated volume: 38.79 Å³ per atom

---

Which structure loses on stability? version a does.

---

Version a
Here is crystalline CsAg3Br6 at its relaxed geometry from the Alexandria database. Energies are from PBE.

```
CsAg3Br6
1.0
7.3574 0.0000 0.0000
-3.4626 6.6043 0.0000
-2.9381 -2.5075 6.7881
Cs Ag Br
1 3 6
Cartesian
0.0000 0.0000 0.0000
-2.9796 2.2836 4.5252
0.5854 0.0198 4.6355
0.5230 4.3063 1.7986
-1.6461 0.1324 3.3450
-1.8116 4.4571 3.2173
0.0925 6.2555 0.1463
2.2486 3.3384 0.0573
1.6097 2.6179 3.3866
2.7387 0.5631 5.9322
```

Results
Calculated volume: 32.98 Å³ per atom

---

Version b
Here is crystalline CsAg3Br6 at its relaxed geometry from the Alexandria database. Energies are from PBE.

```
CsAg3Br6
1.0
4.9794 -7.3110 0.0000
4.9794 7.3110 0.0000
0.0000 0.0000 4.5535
Cs Ag Br
1 3 6
Cartesian
0.0000 0.0000 0.0000
2.4897 3.6555 2.2768
2.4897 -3.6555 2.2768
4.9794 0.0000 0.0000
4.9794 4.5583 2.2768
3.1406 1.8548 0.0000
3.1406 -1.8548 0.0000
6.8183 1.8548 0.0000
6.8183 -1.8548 0.0000
4.9794 -4.5583 2.2768
```

Results
Calculated volume: 33.15 Å³ per atom

---

Which structure loses on stability? version b does.